# MnP2NO (PBE with a Hubbard U, optimized geometry)
data_MnP2NO
_cell_length_a 3.8926
_cell_length_b 3.8926
_cell_length_c 4.0846
_cell_angle_alpha 90.00
_cell_angle_beta 90.00
_cell_angle_gamma 90.00
_symmetry_space_group_name_H-M 'P 4/m m m'
_symmetry_Int_Tables_number 123
_symmetry_space_group_name_Hall '-P 4 2'
loop_
_atom_site_label
_atom_site_fract_x
_atom_site_fract_y
_atom_site_fract_z
_atom_site_occupancy
Mn1 0.0000 0.0000 0.0000 1
P1 0.0000 0.5000 0.5000 1
N1 0.5000 0.5000 0.5000 1
O1 0.5000 0.5000 0.0000 1
# ΔE to the lowest computed polymorph (eV per atom): 0.000